# 1
# Al3SnMo

A relaxed structure of Al3SnMo (PBE-GGA, the Alexandria database). Values from VASP.

Cell and atoms, written as Quantum ESPRESSO input:
```
&SYSTEM
  ibrav = 0, nat = 5, ntyp = 3
/
ATOMIC_SPECIES
Al 26.98 Al.upf
Mo 95.94 Mo.upf
Sn 118.71 Sn.upf
CELL_PARAMETERS angstrom
-4.6929 -1.0407 0.8731
1.1393 -1.3048 4.5682
-0.7399 4.5916 1.4961
ATOMIC_POSITIONS angstrom
Al -2.3464 -0.5204 0.4366
Al 0.5696 -0.6524 2.2841
Al -0.3700 2.2958 0.7480
Mo 0.0000 0.0000 0.0000
Sn -2.1468 1.1230 3.4687
```

Calculated values
Symmetry   No. 221
E above lowest polymorph   0.0 kJ/mol of atoms
D(E_F)   0.5735 states/eV per atom
Energy relative to the elements   0.49 eV/atom

---

# 2
# Al2SnMo2

A relaxed structure of Al2SnMo2 (PBE-GGA, the Alexandria database). Values from VASP.

Cell and atoms, written as Quantum ESPRESSO input:
```
&SYSTEM
  ibrav = 0, nat = 10, ntyp = 3
/
ATOMIC_SPECIES
Mo 95.94 Mo.upf
Sn 118.71 Sn.upf
Al 26.98 Al.upf
CELL_PARAMETERS angstrom
7.0302 0.0000 0.0000
0.0000 7.0302 0.0000
0.0000 0.0000 3.5482
ATOMIC_POSITIONS angstrom
Mo 4.5700 1.0549 0.0000
Mo 2.4602 5.9752 0.0000
Mo 5.9752 4.5700 0.0000
Mo 1.0549 2.4602 0.0000
Sn 0.0000 0.0000 0.0000
Sn 3.5151 3.5151 0.0000
Al 2.5264 0.9887 1.7741
Al 6.0415 2.5264 1.7741
Al 4.5038 6.0415 1.7741
Al 0.9887 4.5038 1.7741
```

Calculated values
Symmetry   No. 127
E above lowest polymorph   0.0 kJ/mol of atoms
D(E_F)   0.6097 states/eV per atom
Energy relative to the elements   0.07 eV/atom

---

# 3
# AlVSn2Mo

A relaxed structure of AlVSn2Mo (PBE-GGA, the Alexandria database). Values from VASP.

Cell and atoms, written as Quantum ESPRESSO input:
```
&SYSTEM
  ibrav = 0, nat = 5, ntyp = 4
/
ATOMIC_SPECIES
Mo 95.94 Mo.upf
V 50.94 V.upf
Sn 118.71 Sn.upf
Al 26.98 Al.upf
CELL_PARAMETERS angstrom
5.0433 0.0000 0.0000
0.0000 4.5440 0.0000
0.0000 0.0000 5.0433
ATOMIC_POSITIONS angstrom
Mo 2.5217 2.2720 2.5217
V 0.0000 2.2720 0.0000
Sn 0.0000 0.0000 2.5217
Sn 2.5217 0.0000 0.0000
Al 0.0000 0.0000 0.0000
```

Calculated values
Symmetry   No. 123
D(E_F)   0.8936 states/eV per atom
Energy relative to the elements   1.43 eV/atom